(1)
The following is a DFT calculation (PBE) of InGa2Te2 after structural relaxation.

For the density of states at the Fermi level, the calculation gives 0.42 states/eV/atom. The total DFT energy (no corrections) comes out at -3.0848 eV/atom.

Cell and atoms, written as CIF:
```
data_InGa2Te2
_space_group_name_H-M_alt 'P 4/m b m'
_space_group_IT_number 127
_space_group_name_Hall '-P 4 2ab'
_cell_length_a 8.184
_cell_length_b 8.184
_cell_length_c 3.975
_cell_angle_alpha 90.00
_cell_angle_beta 90.00
_cell_angle_gamma 90.00
loop_
_atom_site_label
_atom_site_type_symbol
_atom_site_fract_x
_atom_site_fract_y
_atom_site_fract_z
_atom_site_occupancy
In1 In 0.000 0.000 0.000 1
Ga1 Ga 0.122 0.378 0.000 1
Te1 Te 0.183 0.683 0.500 1
```



(2)
The following is a DFT calculation (PBE) of NdHo10Sc4 after structural relaxation.

For the density of states at the Fermi level, the calculation gives 1.90 states/eV/atom. The calculation puts the formation energy at 834 kJ/mol of formula units. The total DFT energy (no corrections) comes out at -4.4816 eV/atom.

Cell and atoms, written as CIF:
```
data_NdHo10Sc4
_space_group_name_H-M_alt 'I 4/m'
_space_group_IT_number 87
_space_group_name_Hall '-I 4'
_cell_length_a 12.275
_cell_length_b 12.275
_cell_length_c 6.591
_cell_angle_alpha 90.00
_cell_angle_beta 90.00
_cell_angle_gamma 90.00
loop_
_atom_site_label
_atom_site_type_symbol
_atom_site_fract_x
_atom_site_fract_y
_atom_site_fract_z
_atom_site_occupancy
Nd1 Nd 0.000 0.000 0.000 1
Ho1 Ho 0.000 0.500 0.250 1
Ho2 Ho 0.123 0.281 0.245 1
Sc1 Sc 0.069 0.823 0.500 1
```



(3)
The following is a DFT calculation (PBE) of SmYCF after structural relaxation.

For the density of states at the Fermi level, the calculation gives 0.44 states/eV/atom. The total DFT energy (no corrections) comes out at -6.8202 eV/atom.

Cell and atoms, written as CIF:
```
data_SmYCF
_space_group_name_H-M_alt 'P -6 m 2'
_space_group_IT_number 187
_space_group_name_Hall 'P -6 2'
_cell_length_a 4.2078
_cell_length_b 4.2078
_cell_length_c 5.1272
_cell_angle_alpha 90.00
_cell_angle_beta 90.00
_cell_angle_gamma 120.00
loop_
_atom_site_label
_atom_site_type_symbol
_atom_site_fract_x
_atom_site_fract_y
_atom_site_fract_z
_atom_site_occupancy
Sm1 Sm 0.0000 0.0000 0.0000 1
Y1 Y 0.6667 0.3333 0.5000 1
C1 C 0.0000 0.0000 0.5000 1
F1 F 0.6667 0.3333 0.0000 1
```



(4)
The following is a DFT calculation (PBE) of LaCdS2Cl after structural relaxation.

For the density of states at the Fermi level, the calculation gives 0.58 states/eV/atom. The total DFT energy (no corrections) comes out at -4.1483 eV/atom.

Cell and atoms, written as CIF:
```
data_LaCdS2Cl
_space_group_name_H-M_alt 'P 4/m m m'
_space_group_IT_number 123
_space_group_name_Hall '-P 4 2'
_cell_length_a 5.072
_cell_length_b 5.072
_cell_length_c 4.921
_cell_angle_alpha 90.00
_cell_angle_beta 90.00
_cell_angle_gamma 90.00
loop_
_atom_site_label
_atom_site_type_symbol
_atom_site_fract_x
_atom_site_fract_y
_atom_site_fract_z
_atom_site_occupancy
La1 La 0.000 0.000 0.000 1
Cd1 Cd 0.500 0.500 0.500 1
S1 S 0.000 0.500 0.500 1
Cl1 Cl 0.500 0.500 0.000 1
```



(5)
The following is a DFT calculation (PBE) of BaSi2As after structural relaxation.

For the density of states at the Fermi level, the calculation gives 1.00 states/eV/atom. The total DFT energy (no corrections) comes out at -4.0069 eV/atom.

Cell and atoms, written as CIF:
```
data_BaSi2As
_space_group_name_H-M_alt 'F -4 3 m'
_space_group_IT_number 216
_space_group_name_Hall 'F -4 2 3'
_cell_length_a 7.329
_cell_length_b 7.329
_cell_length_c 7.329
_cell_angle_alpha 90.00
_cell_angle_beta 90.00
_cell_angle_gamma 90.00
loop_
_atom_site_label
_atom_site_type_symbol
_atom_site_fract_x
_atom_site_fract_y
_atom_site_fract_z
_atom_site_occupancy
Ba1 Ba 0.000 0.000 0.000 1
Si1 Si 0.000 0.000 0.500 1
Si2 Si 0.250 0.250 0.250 1
As1 As 0.250 0.250 0.750 1
```



(6)
The following is a DFT calculation (PBE) of KSc2Pt after structural relaxation.

For the density of states at the Fermi level, the calculation gives 1.17 states/eV/atom. The calculation puts the formation energy at 81 kJ/mol of formula units. The total DFT energy (no corrections) comes out at -4.7412 eV/atom.

Cell and atoms, written as CIF:
```
data_KSc2Pt
_space_group_name_H-M_alt 'I -4 m 2'
_space_group_IT_number 119
_space_group_name_Hall 'I -4 -2'
_cell_length_a 4.161
_cell_length_b 4.161
_cell_length_c 10.388
_cell_angle_alpha 90.00
_cell_angle_beta 90.00
_cell_angle_gamma 90.00
loop_
_atom_site_label
_atom_site_type_symbol
_atom_site_fract_x
_atom_site_fract_y
_atom_site_fract_z
_atom_site_occupancy
K1 K 0.000 0.000 0.000 1
Sc1 Sc 0.000 0.000 0.500 1
Sc2 Sc 0.000 0.500 0.250 1
Pt1 Pt 0.000 0.500 0.750 1
```